[1]
KNa2AgO: relaxed, PBE.

Its calculated density is 2899 kg/m3. The calculation puts the total energy at -14.6 eV for the cell shown.

a = 4.7166 Å, b = 4.7166 Å, c = 5.3807 Å
α = 90.00°, β = 90.00°, γ = 90.00°
Atoms (fractional coordinates):
O1 0.0000 0.0000 0.0000
Na1 0.0000 0.5000 0.0000
Na2 0.5000 0.0000 0.0000
Ag1 0.5000 0.5000 0.5000
K1 0.0000 0.0000 0.5000



[2]
MgMnCo: relaxed, PBE.

Its calculated density is 5482 kg/m3. Its density of states at the Fermi level is 2.4 states/eV/cell. The formation energy comes out at 19.4 kJ per mole of atoms. The calculation puts the distance to the lowest polymorph of the same formula at 0.401 eV per formula unit.

a = 4.2379 Å, b = 4.2379 Å, c = 2.6913 Å
α = 90.00°, β = 90.00°, γ = 120.00°
Atoms (fractional coordinates):
Co1 0.0000 0.0000 0.9496
Mg1 0.6667 0.3333 0.3199
Mn1 0.3333 0.6667 0.7306



[3]
BaDySe2: relaxed, PBE.

Its calculated density is 6418 kg/m3. Its density of states at the Fermi level is 2.4 states/eV/cell. The calculation puts the distance to the lowest polymorph of the same formula at 0.225 eV per formula unit.

a = 4.2142 Å, b = 4.2142 Å, c = 8.0759 Å
α = 74.88°, β = 74.88°, γ = 60.00°
Atoms (fractional coordinates):
Dy1 0.6694 0.6694 0.9919
Ba1 0.4964 0.4964 0.5107
Se1 0.0704 0.0704 0.7889
Se2 0.2638 0.2638 0.2085



[4]
BeGa2Co5B2: relaxed, PBE.

Its calculated density is 7925 kg/m3. Its density of states at the Fermi level is 7.7 states/eV/cell. The formation energy comes out at -25.5 kJ per mole of atoms.

a = 2.7048 Å, b = 8.4854 Å, c = 8.4854 Å
α = 90.00°, β = 90.00°, γ = 90.00°
Atoms (fractional coordinates):
Be1 0.0000 0.0000 0.0000
Be2 0.0000 0.5000 0.5000
B1 0.0000 0.1279 0.6279
B2 0.0000 0.6279 0.8721
B3 0.0000 0.8721 0.3721
B4 0.0000 0.3721 0.1279
Co1 0.5000 0.4309 0.2924
Co2 0.5000 0.5000 0.0000
Co3 0.5000 0.5691 0.7076
Co4 0.5000 0.0691 0.7924
Co5 0.5000 0.0000 0.5000
Co6 0.5000 0.7924 0.9309
Co7 0.5000 0.7076 0.4309
Co8 0.5000 0.2076 0.0691
Co9 0.5000 0.9309 0.2076
Co10 0.5000 0.2924 0.5691
Ga1 0.0000 0.3237 0.8237
Ga2 0.0000 0.8237 0.6763
Ga3 0.0000 0.6763 0.1763
Ga4 0.0000 0.1763 0.3237



[5]
KTa2Te: relaxed, PBE.

Its calculated density is 7625 kg/m3. Its density of states at the Fermi level is 2.7 states/eV/cell. The calculation puts the total energy at -26.6 eV for the cell shown.

a = 4.2807 Å, b = 3.4678 Å, c = 7.7989 Å
α = 83.91°, β = 90.00°, γ = 90.00°
Atoms (fractional coordinates):
K1 0.5000 0.7901 0.7327
Ta1 0.0000 0.9295 0.1488
Ta2 0.5000 0.4196 0.1829
Te1 0.0000 0.3608 0.4356



[6]
Pd6PtAu: relaxed, PBE.

Its calculated density is 13617 kg/m3. Its density of states at the Fermi level is 19.0 states/eV/cell. The formation energy comes out at -2.1 kJ per mole of atoms. The calculation puts the distance to the lowest polymorph of the same formula at 0.054 eV per formula unit.

a = 3.9764 Å, b = 4.8709 Å, c = 7.4312 Å
α = 77.54°, β = 74.48°, γ = 65.91°
Atoms (fractional coordinates):
Au1 0.0000 0.5000 0.5000
Pd1 0.5002 0.2457 0.7539
Pd2 0.4998 0.7543 0.2461
Pd3 0.7518 0.1241 0.3723
Pd4 0.2511 0.3752 0.1225
Pd5 0.2482 0.8759 0.6277
Pd6 0.7489 0.6248 0.8775
Pt1 0.0000 0.0000 0.0000



[7]
TbHoRu: relaxed, PBE.

Its calculated density is 9389 kg/m3. Its density of states at the Fermi level is 1.4 states/eV/cell. The formation energy comes out at -32.8 kJ per mole of atoms. The calculation puts the distance to the lowest polymorph of the same formula at 0.000 eV per formula unit.

a = 3.3990 Å, b = 3.3990 Å, c = 6.9351 Å
α = 104.19°, β = 104.19°, γ = 90.00°
Atoms (fractional coordinates):
Tb1 0.0394 0.0394 0.0788
Ho1 0.2928 0.2928 0.5857
Ru1 0.6678 0.6678 0.3355



[8]
Ca2MnRh: relaxed, PBE.

Its calculated density is 4029 kg/m3. Its density of states at the Fermi level is 3.4 states/eV/cell. The formation energy comes out at -1.3 kJ per mole of atoms.

a = 3.4048 Å, b = 3.4502 Å, c = 8.3504 Å
α = 90.00°, β = 90.00°, γ = 90.00°
Atoms (fractional coordinates):
Rh1 0.5000 0.5000 0.6905
Ca1 0.0000 0.0000 0.9248
Ca2 0.5000 0.5000 0.3155
Mn1 0.0000 0.0000 0.5692